(1)
Material: MgP2Se
Method: DFT, PBE-GGA
State: relaxed

Results
total magnetic moment	0.0	Bohr magnetons per cell
space group	I-4m2, No. 119
formation energy from raw total energies	281	meV per atom

Structure (extended XYZ):
```
4
Lattice="-3.4100 4.3541 -1.8951 -3.8631 -0.3240 -4.3760 1.7481 -2.7449 4.8567" Properties=species:S:1:pos:R:3 pbc="T T T"
Mg -2.6492 1.8121 -0.0870
P 0.0000 0.0000 0.0000
P -2.8758 -0.5270 -1.3274
Se -3.6366 2.0150 -3.1355
```



(2)
Material: Mg2PSe
Method: DFT, PBE-GGA
State: relaxed

Results
total magnetic moment	0.0	Bohr magnetons per cell
space group	Cmmm, No. 65
formation energy from raw total energies	-360	meV per atom

Structure (extended XYZ):
```
4
Lattice="4.7015 -0.1246 0.0000 -0.5476 4.6712 0.0000 0.0000 0.0000 3.4599" Properties=species:S:1:pos:R:3 pbc="T T T"
Mg 0.0000 0.0000 0.0000
Mg 2.0770 2.2733 0.0000
P 2.3508 -0.0623 1.7300
Se -0.2738 2.3356 1.7300
```



(3)
Material: Mg2PSe
Method: DFT, PBE-GGA
State: relaxed

Results
total magnetic moment	0.0	Bohr magnetons per cell
space group	Amm2, No. 38
formation energy from raw total energies	-582	meV per atom

Structure (extended XYZ):
```
4
Lattice="-4.8388 -2.7137 3.7072 -1.7685 -4.6139 4.4839 0.7782 2.3869 2.7631" Properties=species:S:1:pos:R:3 pbc="T T T"
Mg -6.2805 -6.7748 8.2519
Mg -1.4240 -0.6267 4.0954
P -2.7836 -2.1348 5.7807
Se -4.8626 -5.2022 6.4944
```



(4)
Material: Mg2PSe
Method: DFT, PBE-GGA
State: relaxed

Results
total magnetic moment	0.0	Bohr magnetons per cell
space group	P4/mmm, No. 123
formation energy from raw total energies	-681	meV per atom

Structure (extended XYZ):
```
4
Lattice="-3.1433 -3.4341 2.9002 3.0760 -2.1008 0.8463 0.5806 2.1097 3.1274" Properties=species:S:1:pos:R:3 pbc="T T T"
Mg 3.1988 0.0085 3.4770
Mg -0.1998 -1.7143 2.9402
P 1.3709 0.0037 1.4901
Se 1.6283 -1.7098 4.9270
```



Please write out number 4 again, unchanged.
Material: Mg2PSe
Method: DFT, PBE-GGA
State: relaxed

Results
total magnetic moment	0.0	Bohr magnetons per cell
space group	P4/mmm, No. 123
formation energy from raw total energies	-681	meV per atom

Structure (extended XYZ):
```
4
Lattice="-3.1433 -3.4341 2.9002 3.0760 -2.1008 0.8463 0.5806 2.1097 3.1274" Properties=species:S:1:pos:R:3 pbc="T T T"
Mg 3.1988 0.0085 3.4770
Mg -0.1998 -1.7143 2.9402
P 1.3709 0.0037 1.4901
Se 1.6283 -1.7098 4.9270
```



Question: Look up the formation energy from raw total energies of the fourth one.
Answer: -681 meV per atom